Here is crystalline Li5NiO3F at its relaxed geometry from Alexandria via LeMat-Bulk. Energies are from GGA+U.

The density is 2.59 g cm⁻³. The volume comes out at 411.0 Å³/cell. The total energy comes out at -4.717 eV/atom.

It has space group C2/m (No. 12), with a = 9.535 Å, b = 9.511 Å, c = 4.718 Å, α = 90.00°, β = 106.17° and γ = 90.00°. The inequivalent atoms are Li at (0.128, 0.220, 0.383), Li at (0.131, 0.288, 0.871), Li at (0.141, 0.000, 0.870), Ni at (0.126, 0.500, 0.368), O at (0.000, 0.357, 0.500), O at (0.248, 0.353, 0.249) and F at (0.000, 0.145, 0.000).